# Dy2SbS4 (PBE, relaxed)
# ΔE_f (raw)	-1.375	eV/atom
# density of states at the Fermi level	3.19	states/eV/cell
data_Dy2SbS4
_cell_length_a 15.141
_cell_length_b 3.867
_cell_length_c 6.962
_cell_angle_alpha 90.00
_cell_angle_beta 113.13
_cell_angle_gamma 90.00
_symmetry_space_group_name_H-M 'C 1 2/m 1'
_symmetry_Int_Tables_number 12
loop_
_symmetry_equiv_pos_as_xyz
'x,y,z'
'-x,-y,-z'
'-x,y,-z'
'x,-y,z'
'x+1/2,y+1/2,z'
'-x+1/2,-y+1/2,-z'
'-x+1/2,y+1/2,-z'
'x+1/2,-y+1/2,z'
loop_
_atom_site_label
_atom_site_fract_x
_atom_site_fract_y
_atom_site_fract_z
Dy1 0.235 0.000 0.239
Sb1 0.000 0.500 0.500
S1 0.136 0.500 0.341
S2 0.147 0.000 0.814